# 1
# MnZn3I9

An optimized crystal structure of MnZn3I9 (PBE-GGA, Alexandria via LeMat-Bulk). Values from VASP.

Computed properties:
The value obtained for the uncorrected formation energy is -0.425 eV/atom. Its total DFT energy (no corrections) is -2.50 eV/atom.

```
&SYSTEM
  ibrav = 0, nat = 26, ntyp = 3
/
ATOMIC_SPECIES
Mn 54.94 Mn.upf
Zn 65.41 Zn.upf
I 126.90 I.upf
CELL_PARAMETERS angstrom
10.6187 -4.7018 0.0000
10.6187 4.7018 0.0000
-9.9776 0.0000 11.0297
ATOMIC_POSITIONS angstrom
Mn 5.6299 4.1479 5.5149
Mn 10.6187 -4.1479 0.0000
Zn 4.3424 1.1964 1.7401
Zn 2.4870 1.6753 8.4012
Zn -0.6464 -1.1964 7.2550
Zn 10.4304 1.8679 2.9917
Zn 7.4758 -1.6753 2.8863
Zn 5.4415 -1.8679 8.5066
I 5.5059 3.3218 2.8902
I -4.4321 1.0674 10.4293
I 9.1623 3.2424 1.0721
I 2.7079 3.6247 10.2539
I 3.6169 2.2400 6.0609
I -0.1266 1.1859 8.2976
I 7.3417 3.0127 7.3434
I 0.5567 -1.0674 4.9145
I 4.8622 -1.1859 2.7828
I 8.6008 0.3467 4.1710
I 3.6119 -0.3467 9.6859
I 12.6073 0.6885 2.4432
I 8.6057 -2.2400 0.5460
I 0.5170 -3.3218 8.4051
I 7.6185 -0.6885 7.9581
I 4.1735 -3.2424 6.5870
I 7.6967 -3.6247 4.7391
I 12.3305 -3.0127 1.8285
```

---

# 2
# MnZn2I2

An optimized crystal structure of MnZn2I2 (PBE-GGA, Alexandria via LeMat-Bulk). Values from VASP.

Computed properties:
The value obtained for the uncorrected formation energy is 0.275 eV/atom. Its total DFT energy (no corrections) is -2.69 eV/atom.

```
&SYSTEM
  ibrav = 0, nat = 5, ntyp = 3
/
ATOMIC_SPECIES
Mn 54.94 Mn.upf
Zn 65.41 Zn.upf
I 126.90 I.upf
CELL_PARAMETERS angstrom
-2.9884 2.9884 3.9028
2.9884 -2.9884 3.9028
2.9884 2.9884 -3.9028
ATOMIC_POSITIONS angstrom
Mn 0.0000 0.0000 0.0000
Zn 0.0000 0.0000 2.6831
Zn 0.0000 0.0000 5.1225
I 2.9884 0.0000 1.9514
I 0.0000 2.9884 1.9514
```

---

# 3
# MnZnI5

An optimized crystal structure of MnZnI5 (PBE-GGA, Alexandria via LeMat-Bulk). Values from VASP.

Computed properties:
The value obtained for the uncorrected formation energy is -0.354 eV/atom. Its total DFT energy (no corrections) is -2.95 eV/atom.

```
&SYSTEM
  ibrav = 0, nat = 28, ntyp = 3
/
ATOMIC_SPECIES
Mn 54.94 Mn.upf
Zn 65.41 Zn.upf
I 126.90 I.upf
CELL_PARAMETERS angstrom
10.8882 0.0000 0.0000
0.0000 9.1928 0.0000
0.0000 0.0000 11.4131
ATOMIC_POSITIONS angstrom
Mn 1.3728 2.2982 2.8186
Mn 4.0713 6.8946 8.5252
Mn 6.8169 2.2982 2.8880
Mn 9.5154 6.8946 8.5945
Zn 1.3703 6.8946 1.0157
Zn 4.0738 2.2982 6.7223
Zn 6.8144 6.8946 4.6909
Zn 9.5179 2.2982 10.3975
I 0.9995 2.2982 0.0737
I 1.3601 6.8946 7.9012
I 1.3726 5.0832 3.0186
I 1.3726 8.7060 3.0186
I 1.7192 2.2982 5.6102
I 3.7249 6.8946 11.3167
I 4.0715 0.4868 8.7252
I 4.0715 4.1096 8.7252
I 4.0840 2.2982 2.1946
I 4.4447 6.8946 5.7803
I 6.4436 2.2982 5.6329
I 6.8042 6.8946 9.2185
I 6.8167 5.0832 2.6880
I 6.8167 8.7060 2.6880
I 7.1633 2.2982 0.0964
I 9.1690 6.8946 5.8030
I 9.5156 0.4868 8.3946
I 9.5156 4.1096 8.3946
I 9.5281 2.2982 3.5119
I 9.8888 6.8946 11.3395
```